Material: Ru4Se3
Method: DFT, PBE
State: relaxed

The value obtained for the uncorrected formation energy is 0.140 eV/atom. The total energy comes out at -6.65 eV/atom. Its offset from the most stable computed form is 0.000 eV/f.u. Its calculated volume is 16.82 Å³ per atom. The calculation puts the density of states at the Fermi level at 0.897 states/eV per atom.

The space group is I4/mmm (No. 139) and the conventional cell measures 2.9724, 2.9724 and 26.6517 Å, with angles of 90.00, 90.00 and 90.00 degrees. Symmetry generates all atoms from Ru at (0.0000, 0.0000, 0.0572), Ru at (0.0000, 0.0000, 0.3687), Se at (0.0000, 0.0000, 0.1834) and Se at (0.0000, 0.0000, 0.5000).